Material: SrNdZnRuO6
Method: DFT, PBE-GGA
State: optimized geometry

Lattice parameters (Å, degrees): 5.7563 5.5824 9.6775 54.78 90.00 90.00
Closest atoms and distances in Å follow each position.
Atoms (fractional coordinates):
Sr 0.2067 0.2411 0.2507  7 O 2.47-2.76
Sr 0.7933 0.2411 0.7507  7 O 2.47-2.76
Nd 0.3110 0.7631 0.7523  6 O 2.37-2.60
Nd 0.6890 0.7631 0.2523  6 O 2.37-2.60
Zn 0.7604 0.4999 0.0015  6 O 2.09-2.17
Zn 0.2396 0.4999 0.5015  6 O 2.09-2.17
Ru 0.7530 0.0006 0.4998  6 O 1.97-2.00
Ru 0.2470 0.0006 0.9998  6 O 1.97-2.00
O 0.0423 0.1362 0.5491  1 Ru 2.00, 1 Zn 2.13
O 0.9577 0.1362 0.0491  1 Ru 2.00, 1 Zn 2.13
O 0.4774 0.8382 0.4551  1 Ru 1.99, 1 Zn 2.16
O 0.5226 0.8382 0.9551  1 Ru 1.99, 1 Zn 2.16
O 0.9414 0.7556 0.4524  1 Ru 2.00, 1 Zn 2.10
O 0.0586 0.7556 0.9524  1 Ru 2.00, 1 Zn 2.10
O 0.5434 0.2382 0.5391  1 Ru 1.99, 1 Zn 2.17
O 0.4566 0.2382 0.0391  1 Ru 1.99, 1 Zn 2.17
O 0.7698 0.3419 0.2570  1 Ru 2.00, 1 Zn 2.09
O 0.2302 0.3419 0.7570  1 Ru 2.00, 1 Zn 2.09
O 0.7213 0.6853 0.7431  1 Ru 1.97, 1 Zn 2.10
O 0.2787 0.6853 0.2431  1 Ru 1.97, 1 Zn 2.10

Results
E_form (uncorrected)   -2.0689 eV per atom
Total magnetic moment   6.0 μB/cell
Symmetry   Pc, No. 7

---

Material: Tb2NdRuO8
Method: DFT, PBE-GGA
State: optimized geometry

Lattice parameters (Å, degrees): 5.1000 5.0889 6.8852 90.00 90.00 89.71
Closest atoms and distances in Å follow each position.
Atoms (fractional coordinates):
Tb 0.5000 0.5000 0.7501  6 O 2.18-2.43
Tb 0.5000 0.5000 0.2499  6 O 2.18-2.43
Nd 0.0000 0.0000 0.5000  6 O 2.28-2.43
Ru 0.0000 0.0000 0.0000  6 O 1.90-1.93
O 0.1839 0.8143 0.2037  1 Ru 1.93
O 0.7362 0.7375 0.0000  1 Ru 1.90
O 0.8161 0.1857 0.2038  1 Ru 1.93
O 0.8161 0.1857 0.7963  1 Ru 1.93
O 0.2638 0.2625 0.0000  1 Ru 1.90
O 0.1839 0.8143 0.7962  1 Ru 1.93
O 0.6842 0.6857 0.5000  2 Tb 2.18, 1 Nd 2.28
O 0.3158 0.3143 0.5000  2 Tb 2.18, 1 Nd 2.28

Results
E_form (uncorrected)   -2.3461 eV per atom
Total magnetic moment   1.0 μB/cell
Symmetry   P2/m, No. 10

---

Material: Nd2TlRuO8
Method: DFT, PBE-GGA
State: optimized geometry

Lattice parameters (Å, degrees): 4.9274 4.7072 7.5040 87.41 87.66 94.27
Closest atoms and distances in Å follow each position.
Atoms (fractional coordinates):
Nd 0.4498 0.4246 0.7610  6 O 2.36-2.44
Nd 0.5502 0.5754 0.2390  6 O 2.36-2.44
Tl 0.0000 0.0000 0.5000  2 O 2.00
Ru 0.0000 0.0000 0.0000  6 O 1.86-1.95
O 0.1186 0.7671 0.1993  1 Ru 1.95
O 0.7426 0.7093 0.9489  1 Ru 1.86
O 0.7443 0.1260 0.1806  1 Ru 1.95
O 0.8814 0.2329 0.8007  1 Ru 1.95
O 0.2574 0.2907 0.0511  1 Ru 1.86
O 0.2557 0.8740 0.8194  1 Ru 1.95
O 0.6928 0.6969 0.5235  1 Tl 2.00
O 0.3072 0.3031 0.4765  1 Tl 2.00

Results
E_form (uncorrected)   -1.7384 eV per atom
Total magnetic moment   1.0 μB/cell
Symmetry   P-1, No. 2

---

Material: Nd2Tl2RuO6
Method: DFT, PBE-GGA
State: optimized geometry

Lattice parameters (Å, degrees): 5.9882 5.9882 6.7392 97.16 97.16 119.82
Closest atoms and distances in Å follow each position.
Atoms (fractional coordinates):
Nd 0.3355 0.6645 0.5000  6 O 2.37-2.43
Nd 0.6645 0.3355 0.5000  6 O 2.37-2.43
Tl 0.8413 0.1587 0.0000  4 O 2.79-2.81
Tl 0.1587 0.8413 0.0000  4 O 2.79-2.81
Ru 0.0000 0.0000 0.5000  6 O 2.07-2.09
O 0.7612 0.7612 0.6796  1 Ru 2.09
O 0.0427 0.3406 0.6626  1 Ru 2.07
O 0.2388 0.2388 0.3204  1 Ru 2.09
O 0.3406 0.0427 0.6626  1 Ru 2.07
O 0.9573 0.6594 0.3374  1 Ru 2.07
O 0.6594 0.9573 0.3374  1 Ru 2.07

Results
E_form (uncorrected)   -1.7851 eV per atom
Total magnetic moment   2.0 μB/cell
Symmetry   C2/m, No. 12